## MgAlFeSe2 (meta-GGA SCAN)

Data for a PBEsol-optimized structure of MgAlFeSe2.

Properties
symmetry	P4/mmm
calculated total energy	-14.07	eV per atom
uncorrected formation energy	0.137	eV/atom

abc: 4.793 4.793 4.451
angles: 90.00 90.00 90.00
Element x y z (fractional)
Mg 0.000 0.000 0.000
Al 0.500 0.500 0.000
Fe 0.500 0.500 0.500
Se 0.000 0.500 0.500
Se 0.500 0.000 0.500